[1]
BaYP2O: relaxed, GGA-PBEsol.

Properties
Size of the total moment = 0.0 Bohr magnetons per cell
Volume = 25.21 Å³ per atom
Space group = P4/mmm, No. 123
E = -25.31 eV for the cell shown

abc: 4.347 5.385 5.385
angles: 90.00 90.00 90.00
Fractional coordinates of all 5 atoms:
P 0.000 0.500 0.000
P 0.000 0.000 0.500
Y 0.500 0.500 0.500
O 0.500 0.000 0.000
Ba 0.000 0.000 0.000

---

[2]
BaZnPO2: relaxed, GGA-PBEsol.

Properties
Size of the total moment = 1.1 Bohr magnetons per cell
Volume = 24.13 Å³ per atom
Space group = P4/mmm, No. 123
E = -18.35 eV for the cell shown

abc: 4.278 4.278 6.594
angles: 90.00 90.00 90.00
Fractional coordinates of all 5 atoms:
P 0.000 0.000 0.500
Zn 0.500 0.500 0.500
O 0.000 0.500 0.000
O 0.500 0.000 0.000
Ba 0.000 0.000 0.000

---

[3]
Ba2Zn3P10O30: relaxed, GGA-PBEsol.

Properties
Size of the total moment = 0.0 Bohr magnetons per cell
Volume = 13.72 Å³ per atom
Space group = P2/c, No. 13
E = -650.06 eV for the cell shown

abc: 5.363 10.777 21.664
angles: 99.63 90.00 90.00
Fractional coordinates of all 90 atoms:
O 0.651 0.060 0.456
O 0.048 0.935 0.421
O 0.942 0.026 0.852
O 0.245 0.190 0.184
O 0.314 0.610 0.755
O 0.995 0.868 0.915
O 0.923 0.830 0.539
O 0.058 0.974 0.148
O 0.686 0.110 0.255
O 0.952 0.435 0.921
O 0.240 0.661 0.493
O 0.995 0.632 0.585
O 0.005 0.132 0.085
O 0.237 0.370 0.518
O 0.804 0.693 0.318
O 0.396 0.080 0.690
O 0.557 0.541 0.592
O 0.033 0.541 0.236
O 0.763 0.870 0.018
O 0.443 0.459 0.408
O 0.349 0.560 0.956
O 0.760 0.339 0.507
O 0.714 0.303 0.690
O 0.396 0.420 0.810
O 0.952 0.065 0.579
O 0.196 0.193 0.818
O 0.885 0.400 0.141
O 0.048 0.565 0.079
O 0.686 0.390 0.245
O 0.077 0.170 0.461
O 0.923 0.670 0.961
O 0.349 0.940 0.544
O 0.196 0.307 0.682
O 0.714 0.197 0.810
O 0.967 0.459 0.764
O 0.286 0.697 0.310
O 0.755 0.810 0.816
O 0.115 0.600 0.859
O 0.604 0.920 0.310
O 0.443 0.041 0.092
O 0.033 0.959 0.264
O 0.604 0.580 0.190
O 0.286 0.803 0.190
O 0.077 0.330 0.039
O 0.115 0.900 0.641
O 0.763 0.630 0.482
O 0.237 0.130 0.982
O 0.005 0.368 0.415
O 0.058 0.526 0.352
O 0.240 0.839 0.007
O 0.651 0.440 0.044
O 0.557 0.959 0.908
O 0.755 0.690 0.684
O 0.314 0.890 0.745
O 0.942 0.474 0.648
O 0.804 0.807 0.182
O 0.760 0.161 0.993
O 0.245 0.310 0.316
O 0.885 0.100 0.359
O 0.967 0.041 0.736
P 0.905 0.055 0.427
P 0.015 0.182 0.020
P 0.095 0.945 0.573
P 0.778 0.479 0.204
P 0.985 0.682 0.520
P 0.215 0.087 0.129
P 0.785 0.913 0.871
P 0.785 0.587 0.629
P 0.954 0.124 0.804
P 0.095 0.555 0.927
P 0.985 0.818 0.980
P 0.222 0.521 0.796
P 0.015 0.318 0.480
P 0.046 0.876 0.196
P 0.778 0.021 0.296
P 0.954 0.376 0.696
P 0.215 0.413 0.371
P 0.905 0.445 0.073
P 0.046 0.624 0.304
P 0.222 0.979 0.704
Zn 0.474 0.250 0.250
Zn 0.554 0.750 0.250
Zn 0.500 0.000 0.000
Zn 0.446 0.250 0.750
Zn 0.500 0.500 0.500
Zn 0.526 0.750 0.750
Ba 0.499 0.684 0.076
Ba 0.499 0.816 0.424
Ba 0.501 0.316 0.924
Ba 0.501 0.184 0.576

---

[4]
BaZn2P2O8: relaxed, GGA-PBEsol.

Properties
Size of the total moment = 0.0 Bohr magnetons per cell
Volume = 14.76 Å³ per atom
Space group = P2_1/c, No. 14
E = -355.18 eV for the cell shown

abc: 8.581 9.146 9.784
angles: 90.00 90.00 91.65
Fractional coordinates of all 52 atoms:
Zn 0.418 0.441 0.319
Zn 0.929 0.209 0.075
Zn 0.929 0.709 0.425
Zn 0.071 0.791 0.925
Zn 0.582 0.059 0.819
Zn 0.582 0.559 0.681
Zn 0.071 0.291 0.575
Zn 0.418 0.941 0.181
O 0.271 0.694 0.923
O 0.542 0.127 0.632
O 0.542 0.627 0.868
O 0.940 0.626 0.854
O 0.493 0.194 0.948
O 0.556 0.116 0.191
O 0.507 0.806 0.052
O 0.924 0.046 0.197
O 0.991 0.798 0.110
O 0.794 0.010 0.849
O 0.444 0.384 0.691
O 0.009 0.202 0.890
O 0.940 0.126 0.646
O 0.076 0.454 0.697
O 0.009 0.702 0.610
O 0.076 0.954 0.803
O 0.444 0.884 0.809
O 0.493 0.694 0.552
O 0.271 0.194 0.577
O 0.556 0.616 0.309
O 0.206 0.490 0.349
O 0.507 0.306 0.448
O 0.991 0.298 0.390
O 0.060 0.374 0.146
O 0.729 0.306 0.077
O 0.924 0.546 0.303
O 0.458 0.873 0.368
O 0.206 0.990 0.151
O 0.729 0.806 0.423
O 0.458 0.373 0.132
O 0.060 0.874 0.354
O 0.794 0.510 0.651
P 0.950 0.073 0.797
P 0.950 0.573 0.703
P 0.440 0.757 0.912
P 0.050 0.427 0.297
P 0.440 0.257 0.588
P 0.560 0.743 0.412
P 0.050 0.927 0.203
P 0.560 0.243 0.088
Ba 0.744 0.104 0.417
Ba 0.744 0.604 0.083
Ba 0.256 0.896 0.583
Ba 0.256 0.396 0.917

---

[5]
BaZrP2O8: relaxed, GGA-PBEsol.

Properties
Size of the total moment = 0.0 Bohr magnetons per cell
Volume = 15.06 Å³ per atom
Space group = P-3m1, No. 164
E = -99.05 eV for the cell shown

abc: 5.279 5.279 7.485
angles: 90.00 90.00 120.00
Fractional coordinates of all 12 atoms:
P 0.333 0.667 0.253
P 0.667 0.333 0.747
O 0.825 0.650 0.673
O 0.825 0.175 0.673
O 0.350 0.175 0.673
O 0.333 0.667 0.050
O 0.175 0.825 0.327
O 0.175 0.350 0.327
O 0.667 0.333 0.950
O 0.650 0.825 0.327
Ba 0.000 0.000 0.000
Zr 0.000 0.000 0.500

---

[6]
BaPaO3: relaxed, GGA-PBEsol.

Properties
Size of the total moment = 1.0 Bohr magnetons per cell
Volume = 17.55 Å³ per atom
Space group = Pm-3m, No. 221
E = -43.75 eV for the cell shown

abc: 4.444 4.444 4.444
angles: 90.00 90.00 90.00
Fractional coordinates of all 5 atoms:
O 0.000 0.000 0.500
O 0.000 0.500 0.000
O 0.500 0.000 0.000
Ba 0.500 0.500 0.500
Pa 0.000 0.000 0.000

---

[7]
Ba3PbO: relaxed, GGA-PBEsol.

Properties
Size of the total moment = 0.0 Bohr magnetons per cell
Volume = 32.42 Å³ per atom
Space group = Pm-3m, No. 221
E = -22.65 eV for the cell shown

abc: 5.452 5.452 5.452
angles: 90.00 90.00 90.00
Fractional coordinates of all 5 atoms:
Ba 0.000 0.500 0.500
Ba 0.500 0.500 0.000
Ba 0.500 0.000 0.500
O 0.500 0.500 0.500
Pb 0.000 0.000 0.000

---

[8]
Ba3PbS4O16: relaxed, GGA-PBEsol.

Properties
Size of the total moment = 0.0 Bohr magnetons per cell
Volume = 14.02 Å³ per atom
Space group = Pm, No. 6
E = -161.97 eV for the cell shown

abc: 5.422 7.094 8.747
angles: 90.40 90.00 90.00
Fractional coordinates of all 24 atoms:
O 0.278 0.687 0.584
O 0.500 0.959 0.684
O 0.000 0.086 0.588
O 0.500 0.545 0.185
O 0.000 0.401 0.082
O 0.500 0.888 0.408
O 0.225 0.192 0.911
O 0.722 0.812 0.082
O 0.500 0.605 0.908
O 0.000 0.454 0.803
O 0.776 0.311 0.433
O 0.000 0.058 0.308
O 0.775 0.192 0.911
O 0.278 0.812 0.082
O 0.224 0.311 0.433
O 0.722 0.687 0.584
S 0.500 0.689 0.063
S 0.500 0.810 0.564
S 0.000 0.315 0.929
S 0.000 0.188 0.443
Ba 0.500 0.158 0.186
Ba 0.000 0.659 0.319
Ba 0.000 0.841 0.818
Pb 0.500 0.342 0.691

---

[9]
Ba2PbS3O12: relaxed, GGA-PBEsol.

Properties
Size of the total moment = 0.0 Bohr magnetons per cell
Volume = 13.90 Å³ per atom
Space group = Pm, No. 6
E = -482.81 eV for the cell shown

abc: 5.426 8.705 21.183
angles: 90.27 90.00 90.00
Fractional coordinates of all 72 atoms:
O 0.221 0.417 0.102
O 0.276 0.089 0.268
O 0.726 0.076 0.936
O 0.000 0.591 0.370
O 0.000 0.314 0.347
O 0.779 0.412 0.773
O 0.500 0.694 0.313
O 0.500 0.201 0.181
O 0.725 0.578 0.897
O 0.276 0.567 0.229
O 0.000 0.817 0.823
O 0.274 0.076 0.936
O 0.500 0.413 0.305
O 0.000 0.813 0.485
O 0.000 0.094 0.799
O 0.778 0.917 0.396
O 0.500 0.702 0.982
O 0.724 0.087 0.604
O 0.724 0.567 0.229
O 0.724 0.565 0.564
O 0.000 0.591 0.706
O 0.000 0.594 0.035
O 0.000 0.092 0.129
O 0.221 0.915 0.732
O 0.222 0.916 0.060
O 0.500 0.420 0.972
O 0.500 0.919 0.532
O 0.000 0.316 0.011
O 0.724 0.089 0.268
O 0.500 0.202 0.852
O 0.000 0.814 0.150
O 0.779 0.415 0.438
O 0.222 0.917 0.396
O 0.221 0.415 0.438
O 0.500 0.921 0.197
O 0.276 0.565 0.564
O 0.500 0.920 0.860
O 0.500 0.200 0.517
O 0.778 0.916 0.060
O 0.000 0.314 0.682
O 0.500 0.696 0.647
O 0.779 0.417 0.102
O 0.275 0.578 0.897
O 0.221 0.412 0.773
O 0.779 0.915 0.732
O 0.500 0.415 0.641
O 0.000 0.091 0.465
O 0.276 0.087 0.604
S 0.000 0.936 0.437
S 0.000 0.435 0.396
S 0.000 0.437 0.061
S 0.500 0.567 0.939
S 0.000 0.936 0.773
S 0.500 0.558 0.605
S 0.500 0.073 0.227
S 0.500 0.066 0.894
S 0.000 0.433 0.732
S 0.500 0.072 0.562
S 0.500 0.558 0.271
S 0.000 0.936 0.101
Pb 0.000 0.310 0.218
Pb 0.000 0.808 0.948
Pb 0.000 0.309 0.553
Pb 0.000 0.306 0.886
Ba 0.500 0.677 0.781
Ba 0.500 0.181 0.051
Ba 0.500 0.681 0.113
Ba 0.000 0.815 0.280
Ba 0.500 0.680 0.447
Ba 0.500 0.181 0.387
Ba 0.000 0.813 0.615
Ba 0.500 0.179 0.721

---

[10]
Ba4Ti5PbO15: relaxed, GGA-PBEsol.

Properties
Size of the total moment = 0.0 Bohr magnetons per cell
Volume = 12.55 Å³ per atom
Space group = P4/mmm, No. 123
E = -207.15 eV for the cell shown

abc: 3.974 3.974 19.857
angles: 90.00 90.00 90.00
Fractional coordinates of all 25 atoms:
O 0.500 0.500 0.802
O 0.500 0.000 0.500
O 0.000 0.500 0.500
O 0.500 0.500 0.198
O 0.500 0.000 0.097
O 0.500 0.500 0.000
O 0.500 0.500 0.601
O 0.500 0.000 0.299
O 0.500 0.500 0.399
O 0.000 0.500 0.903
O 0.500 0.000 0.701
O 0.000 0.500 0.097
O 0.000 0.500 0.701
O 0.500 0.000 0.903
O 0.000 0.500 0.299
Pb 0.000 0.000 0.000
Ti 0.500 0.500 0.500
Ti 0.500 0.500 0.902
Ti 0.500 0.500 0.098
Ti 0.500 0.500 0.299
Ti 0.500 0.500 0.701
Ba 0.000 0.000 0.198
Ba 0.000 0.000 0.601
Ba 0.000 0.000 0.399
Ba 0.000 0.000 0.802

---

[11]
Ba2PdO: relaxed, GGA-PBEsol.

Properties
Size of the total moment = 0.0 Bohr magnetons per cell
Volume = 29.19 Å³ per atom
Space group = I-42d, No. 122
E = -41.29 eV for the cell shown

abc: 6.762 6.762 6.762
angles: 100.27 114.26 114.26
Fractional coordinates of all 8 atoms:
Ba 0.936 0.561 0.125
Ba 0.564 0.375 0.439
Ba 0.064 0.189 0.625
Ba 0.436 0.875 0.811
Pd 0.000 0.000 0.000
Pd 0.500 0.750 0.250
O 0.000 0.500 0.500
O 0.500 0.250 0.750

---

[12]
Ba2PdO3: relaxed, GGA-PBEsol.

Properties
Size of the total moment = 0.0 Bohr magnetons per cell
Volume = 17.29 Å³ per atom
Space group = Immm, No. 71
E = -37.87 eV for the cell shown

abc: 3.846 4.076 7.185
angles: 106.48 105.52 90.00
Fractional coordinates of all 6 atoms:
Ba 0.355 0.355 0.709
Ba 0.645 0.645 0.291
Pd 0.000 0.000 0.000
O 0.000 0.500 0.000
O 0.846 0.846 0.691
O 0.154 0.154 0.309

---

[13]
BaPr2PdO5: relaxed, GGA-PBEsol.

Properties
Size of the total moment = 0.0 Bohr magnetons per cell
Volume = 14.97 Å³ per atom
Space group = P4/mbm, No. 127
E = -136.71 eV for the cell shown

abc: 5.888 6.766 6.766
angles: 90.00 90.00 90.00
Fractional coordinates of all 18 atoms:
O 0.752 0.860 0.360
O 0.248 0.860 0.360
O 0.500 0.500 0.500
O 0.752 0.360 0.140
O 0.248 0.140 0.640
O 0.752 0.140 0.640
O 0.752 0.640 0.860
O 0.248 0.640 0.860
O 0.500 0.000 0.000
O 0.248 0.360 0.140
Pd 0.000 0.000 0.500
Pd 0.000 0.500 0.000
Pr 0.500 0.673 0.173
Pr 0.500 0.327 0.827
Pr 0.500 0.827 0.673
Pr 0.500 0.173 0.327
Ba 0.000 0.000 0.000
Ba 0.000 0.500 0.500